(1)
DFT (PBE) results for an optimized crystal structure of CdHg2AsF6.

Summary:
Energy relative to the elements, uncorrected = -146.8 kJ per mole of atoms
Electronic total energy = -3.261 eV/atom

Unit cell a=6.2121 b=6.2121 c=6.2189 alpha=59.95 beta=59.95 gamma=89.99
Closest atoms and distances in Å follow each position.
Atoms (fractional coordinates):
Cd  0.0000  0.0000  0.0000  6 F 2.30
Hg  0.7497  0.2503  0.5000  12 F 3.10-3.11
Hg  0.2503  0.7497  0.5000  12 F 3.10-3.11
As  0.5000  0.5000  0.0000  6 F 2.09
F  0.2619  0.2619  0.4755  1 As 2.09, 1 Cd 2.30
F  0.7382  0.7380  0.9993  1 As 2.09, 1 Cd 2.30
F  0.2623  0.7378  0.0000  1 As 2.09, 1 Cd 2.30
F  0.7377  0.2622  0.0000  1 As 2.09, 1 Cd 2.30
F  0.2618  0.2620  0.0007  1 As 2.09, 1 Cd 2.30
F  0.7381  0.7381  0.5245  1 As 2.09, 1 Cd 2.30


(2)
DFT (PBE) results for an optimized crystal structure of CdAsN2F.

Summary:
ΔE to the lowest computed polymorph = 0 meV/atom
Energy relative to the elements, uncorrected = 40.2 kJ per mole of atoms
Electronic total energy = -4.401 eV/atom

Unit cell a=3.8646 b=3.8646 c=4.0690 alpha=90.00 beta=90.00 gamma=90.00
Closest atoms and distances in Å follow each position.
Atoms (fractional coordinates):
N  0.0000  0.5000  0.0000  2 As 1.93
N  0.5000  0.0000  0.0000  2 As 1.93
As  0.0000  0.0000  0.0000  4 N 1.93, 2 F 2.03
F  0.0000  0.0000  0.5000  2 As 2.03
Cd  0.5000  0.5000  0.5000  4 F 2.73, 8 N 2.81


(3)
DFT (PBE) results for an optimized crystal structure of CdAsN2F.

Summary:
ΔE to the lowest computed polymorph = 872 meV/atom
Energy relative to the elements, uncorrected = 124.3 kJ per mole of atoms
Electronic total energy = -3.529 eV/atom

Unit cell a=4.3445 b=4.3445 c=4.2258 alpha=90.00 beta=90.00 gamma=90.00
Closest atoms and distances in Å follow each position.
Atoms (fractional coordinates):
N  0.0000  0.5000  0.0000  2 Cd 2.17
N  0.5000  0.0000  0.0000  2 Cd 2.17
As  0.5000  0.5000  0.5000  8 N 3.03, 4 F 3.07
F  0.0000  0.0000  0.5000  2 Cd 2.11
Cd  0.0000  0.0000  0.0000  2 F 2.11, 4 N 2.17


(4)
DFT (PBE) results for an optimized crystal structure of CdAs2S2O4F12.

Summary:
Energy relative to the elements, uncorrected = -176.4 kJ per mole of atoms
Electronic total energy = -4.721 eV/atom

Unit cell a=12.2017 b=10.3868 c=9.1697 alpha=76.93 beta=56.02 gamma=47.06
Closest atoms and distances in Å follow each position.
Atoms (fractional coordinates):
Cd  0.8607  0.6393  0.6393  2 O 2.29, 4 F 2.29-2.30
Cd  0.6107  0.3893  0.3893  2 O 2.29, 4 F 2.29-2.30
As  0.5048  0.6084  0.8140  6 F 1.75-1.83
As  0.0728  0.8140  0.6084  6 F 1.75-1.83
As  0.4360  0.1772  0.7452  6 F 1.75-1.83
As  0.6416  0.7452  0.1772  6 F 1.75-1.83
S  0.0051  0.6899  0.1838  2 O 1.44-1.47
S  0.5601  0.2449  0.1288  2 O 1.44-1.47
S  0.1212  0.1838  0.6899  2 O 1.44-1.47
S  0.0662  0.1288  0.2449  2 O 1.44-1.47
O  0.6518  0.2580  0.1726  1 S 1.47
O  0.9837  0.2312  0.8787  1 S 1.44
O  0.0774  0.3324  0.5982  1 S 1.47
O  0.9920  0.5982  0.3324  1 S 1.47
O  0.9176  0.1726  0.2580  1 S 1.47
O  0.3713  0.3436  0.2663  1 S 1.44
O  0.9064  0.8787  0.2312  1 S 1.44
O  0.0188  0.2663  0.3436  1 S 1.44
F  0.5660  0.2404  0.6099  1 As 1.83
F  0.3823  0.5428  0.9276  1 As 1.76
F  0.6547  0.9447  0.6660  1 As 1.82
F  0.0422  0.8185  0.8181  1 As 1.75
F  0.6401  0.6663  0.6840  1 As 1.83
F  0.4319  0.9288  0.2078  1 As 1.75
F  0.1472  0.9276  0.5428  1 As 1.76
F  0.3053  0.5953  0.5154  1 As 1.82
F  0.8555  0.5500  0.1359  1 As 1.76
F  0.8467  0.0173  0.6994  1 As 1.75
F  0.5837  0.6099  0.2404  1 As 1.83
F  0.5840  0.5154  0.5953  1 As 1.82
F  0.0096  0.6840  0.6663  1 As 1.83
F  0.2327  0.4033  0.8133  1 As 1.75
F  0.4315  0.2078  0.9288  1 As 1.75
F  0.7000  0.3945  0.7914  1 As 1.76
F  0.3224  0.1028  0.8677  1 As 1.76
F  0.7072  0.8677  0.1028  1 As 1.76
F  0.3212  0.8181  0.8185  1 As 1.75
F  0.7346  0.6660  0.9447  1 As 1.82
F  0.4367  0.6994  0.0173  1 As 1.75
F  0.1141  0.7914  0.3945  1 As 1.76
F  0.5506  0.8133  0.4033  1 As 1.75
F  0.4586  0.1359  0.5500  1 As 1.76


(5)
DFT (PBE) results for an optimized crystal structure of CdAsPF2.

Summary:
Energy relative to the elements, uncorrected = -84.1 kJ per mole of atoms
Electronic total energy = -3.815 eV/atom

Unit cell a=4.0950 b=5.2490 c=4.0950 alpha=90.00 beta=90.00 gamma=90.00
Closest atoms and distances in Å follow each position.
Atoms (fractional coordinates):
P  0.0000  0.5000  0.0000  2 As 2.62, 4 Cd 2.90
As  0.0000  0.0000  0.0000  4 F 2.05
F  0.0000  0.0000  0.5000  2 As 2.05
F  0.5000  0.0000  0.0000  2 As 2.05
Cd  0.5000  0.5000  0.5000  4 P 2.90


(6)
DFT (PBE) results for an optimized crystal structure of Rb2CdAsF6.

Summary:
Energy relative to the elements, uncorrected = -211.7 kJ per mole of atoms
Electronic total energy = -4.067 eV/atom

Unit cell a=6.4613 b=6.4613 c=6.4513 alpha=59.95 beta=59.95 gamma=90.00
Closest atoms and distances in Å follow each position.
Atoms (fractional coordinates):
As  0.5000  0.5000  0.0000  6 F 2.09
F  0.2703  0.2703  0.4593  1 As 2.09
F  0.7297  0.7297  0.5407  1 As 2.09
F  0.2715  0.2715  0.0000  1 As 2.09
F  0.7285  0.7285  0.0000  1 As 2.09
F  0.7285  0.2715  0.0000  1 As 2.09
F  0.2715  0.7285  0.0000  1 As 2.09
Rb  0.7500  0.2500  0.5000  12 F 3.23-3.24
Rb  0.2500  0.7500  0.5000  12 F 3.23-3.24
Cd  0.0000  0.0000  0.0000  6 F 2.46-2.48


(7)
DFT (PBE) results for an optimized crystal structure of ScCdAsF2.

Summary:
Energy relative to the elements, uncorrected = -212.7 kJ per mole of atoms
Electronic total energy = -5.332 eV/atom

Unit cell a=4.0565 b=4.0565 c=5.6982 alpha=90.00 beta=90.00 gamma=90.00
Closest atoms and distances in Å follow each position.
Atoms (fractional coordinates):
Sc  0.0000  0.0000  0.0000  4 F 2.03
As  0.0000  0.0000  0.5000  2 Sc 2.85, 4 Cd 2.87
F  0.0000  0.5000  0.0000  2 Sc 2.03
F  0.5000  0.0000  0.0000  2 Sc 2.03
Cd  0.5000  0.5000  0.5000  4 As 2.87


(8)
DFT (PBE) results for an optimized crystal structure of CdAs2SeF.

Summary:
ΔE to the lowest computed polymorph = 0 meV/atom
Energy relative to the elements, uncorrected = 19.2 kJ per mole of atoms
Electronic total energy = -2.915 eV/atom

Unit cell a=4.3370 b=4.3370 c=5.6109 alpha=90.00 beta=90.00 gamma=90.00
Closest atoms and distances in Å follow each position.
Atoms (fractional coordinates):
As  0.0000  0.5000  0.0000  2 F 2.17
As  0.5000  0.0000  0.0000  2 F 2.17
F  0.0000  0.0000  0.0000  4 As 2.17
Se  0.0000  0.0000  0.5000  2 F 2.81, 4 Cd 3.07
Cd  0.5000  0.5000  0.5000  4 Se 3.07


(9)
DFT (PBE) results for an optimized crystal structure of CdAs2SeF.

Summary:
ΔE to the lowest computed polymorph = 521 meV/atom
Energy relative to the elements, uncorrected = 69.4 kJ per mole of atoms
Electronic total energy = -2.394 eV/atom

Unit cell a=5.1900 b=5.1900 c=5.1284 alpha=90.00 beta=90.00 gamma=90.00
Closest atoms and distances in Å follow each position.
Atoms (fractional coordinates):
As  0.0000  0.5000  0.0000  2 Cd 2.60
As  0.5000  0.0000  0.0000  2 Cd 2.60
F  0.5000  0.5000  0.5000  8 As 3.65, 4 Se 3.67
Se  0.0000  0.0000  0.5000  2 Cd 2.56
Cd  0.0000  0.0000  0.0000  2 Se 2.56, 4 As 2.60


(10)
DFT (PBE) results for an optimized crystal structure of Cd2SnAsF.

Summary:
ΔE to the lowest computed polymorph = 468 meV/atom
Energy relative to the elements, uncorrected = 18.3 kJ per mole of atoms
Electronic total energy = -2.281 eV/atom

Unit cell a=5.6321 b=5.1496 c=5.6321 alpha=90.00 beta=90.00 gamma=90.00
Closest atoms and distances in Å follow each position.
Atoms (fractional coordinates):
As  0.0000  0.5000  0.0000  2 Sn 2.57
F  0.5000  0.5000  0.5000  8 Cd 3.82, 4 As 3.98
Sn  0.0000  0.0000  0.0000  2 As 2.57, 4 Cd 2.82
Cd  0.0000  0.0000  0.5000  2 Sn 2.82
Cd  0.5000  0.0000  0.0000  2 Sn 2.82


(11)
DFT (PBE) results for an optimized crystal structure of Cd2SnAsF.

Summary:
ΔE to the lowest computed polymorph = 0 meV/atom
Energy relative to the elements, uncorrected = -26.8 kJ per mole of atoms
Electronic total energy = -2.749 eV/atom

Unit cell a=5.4689 b=4.0349 c=5.4689 alpha=90.00 beta=90.00 gamma=90.00
Closest atoms and distances in Å follow each position.
Atoms (fractional coordinates):
As  0.0000  0.0000  0.0000  2 F 2.02
F  0.0000  0.5000  0.0000  2 As 2.02
Sn  0.5000  0.5000  0.5000  8 Cd 3.40
Cd  0.0000  0.0000  0.5000  2 As 2.73
Cd  0.5000  0.0000  0.0000  2 As 2.73


(12)
DFT (PBE) results for an optimized crystal structure of SrCdAsF.

Summary:
Energy relative to the elements, uncorrected = -177.8 kJ per mole of atoms
Electronic total energy = -4.123 eV/atom

Unit cell a=4.3337 b=4.3337 c=9.2916 alpha=90.00 beta=90.00 gamma=90.00
Closest atoms and distances in Å follow each position.
Atoms (fractional coordinates):
Sr  0.5000  0.0000  0.6433  4 F 2.54
Sr  0.0000  0.5000  0.3567  4 F 2.54
Cd  0.5000  0.5000  0.0000  4 As 2.80, 4 Cd 3.06
Cd  0.0000  0.0000  0.0000  4 As 2.80, 4 Cd 3.06
As  0.0000  0.5000  0.8089  4 Cd 2.80
As  0.5000  0.0000  0.1911  4 Cd 2.80
F  0.0000  0.0000  0.5000  4 Sr 2.54
F  0.5000  0.5000  0.5000  4 Sr 2.54


(13)
DFT (PBE) results for an optimized crystal structure of SrCd2AsF.

Summary:
Energy relative to the elements, uncorrected = -63.2 kJ per mole of atoms
Electronic total energy = -2.662 eV/atom

Unit cell a=5.3776 b=6.0690 c=5.3776 alpha=90.00 beta=90.00 gamma=90.00
Closest atoms and distances in Å follow each position.
Atoms (fractional coordinates):
Sr  0.0000  0.5000  0.0000  2 As 3.03
As  0.0000  0.0000  0.0000  4 Cd 2.69
F  0.5000  0.5000  0.5000  4 Sr 3.80, 8 Cd 4.05
Cd  0.0000  0.0000  0.5000  2 As 2.69
Cd  0.5000  0.0000  0.0000  2 As 2.69